13
Lattice="0.000 7.197 7.556 3.157 0.000 7.556 3.157 7.197 0.000" Properties=species:S:1:pos:R:3 comment="RbNa2Cd10 (PBE, optimized geometry)" energy_ev_per_atom=-0.998 total_magnetization_mub_per_cell=0.00 sg="No. 69" mass_density_g_cm3=6.07 pbc="T T T"
Rb 0.000 0.000 0.000
Na 1.579 0.000 3.778
Na 1.579 7.197 3.778
Cd 1.579 3.599 0.000
Cd 3.157 2.664 4.926
Cd 3.157 5.653 5.947
Cd 3.157 2.664 10.185
Cd 3.157 5.653 9.165
Cd 1.579 3.599 7.556
Cd 3.157 8.741 5.947
Cd 3.157 11.731 4.926
Cd 3.157 8.741 9.165
Cd 3.157 11.731 10.185